This record from Alexandria via LeMat-Bulk describes a geometry-optimized RePtW structure. The functional is GGA-PBE.

Summary:
- symmetry = Cmcm
- calculated volume (Å³ per cell) = 92.3
- magnetic moment (μB/f.u.) = 0.00
- DFT formation energy (meV/atom) = -143
- total DFT energy (no corrections) (eV/cell) = -63.74

Structure (POSCAR):
```
RePtW
1.0
-1.1632 -2.1558 -1.2685
-0.4481 -2.0841 3.9528
-6.1330 4.1849 1.5112
W Re Pt
2 2 2
Cartesian
-1.6372 0.1847 1.1874
-6.1071 -0.2398 3.0082
-4.4394 0.1343 0.8432
-3.3048 -0.1894 3.3524
-1.6716 -2.2921 2.4288
-6.0726 2.2371 1.7667
```